Here is a relaxed structure of BaScN2F from the Alexandria database. Energies are from PBE.

```
5
Lattice="4.2195 0.0000 0.0000 0.0000 4.2195 0.0000 0.0000 0.0000 4.4478" Properties=species:S:1:pos:R:3 pbc="T T T"
Ba 0.0000 0.0000 0.0000
Sc 2.1097 2.1097 2.2239
N 0.0000 2.1097 2.2239
N 2.1097 0.0000 2.2239
F 2.1097 2.1097 0.0000
```

## Properties
For the formation energy (no corrections), the calculation gives -1.385 eV/atom. The calculation puts the magnetic moment at 0.20 Bohr magnetons per cell. Its mass density is 4808 kg/m3. For the volume, the calculation gives 79.2 Å³ per cell.